! DyY2ScTe6 PBE-GGA optimized geometry; values from VASP
! * M_tot: 0.00 μB per cell
! * SG: R3
! * formation energy without anion corrections: -1.324 eV/atom
! * final energy: -5.60 eV per atom
! * theoretical density: 5512 kg/m3
&SYSTEM
  ibrav = 0, nat = 10, ntyp = 4
/
ATOMIC_SPECIES
Dy 162.50 Dy.upf
Y 88.91 Y.upf
Sc 44.96 Sc.upf
Te 127.60 Te.upf
ATOMIC_POSITIONS crystal
Dy 0.000 0.000 0.000
Y 0.314 0.314 0.314
Y 0.816 0.816 0.816
Sc 0.498 0.498 0.498
Te 0.106 0.724 0.403
Te 0.238 0.596 0.890
Te 0.403 0.106 0.724
Te 0.596 0.890 0.238
Te 0.724 0.403 0.106
Te 0.890 0.238 0.596
CELL_PARAMETERS angstrom
3.799 2.193 6.937
-3.799 2.193 6.937
0.000 -4.386 6.937

***

! DyY2Sc3Te6 PBE-GGA optimized geometry; values from VASP
! * M_tot: 0.00 μB per cell
! * SG: C2/m
! * formation energy without anion corrections: -1.198 eV/atom
! * final energy: -5.81 eV per atom
! * theoretical density: 6258 kg/m3
&SYSTEM
  ibrav = 0, nat = 12, ntyp = 4
/
ATOMIC_SPECIES
Dy 162.50 Dy.upf
Y 88.91 Y.upf
Sc 44.96 Sc.upf
Te 127.60 Te.upf
ATOMIC_POSITIONS crystal
Dy 0.000 0.000 0.000
Y 0.333 0.333 0.667
Y 0.667 0.667 0.333
Sc 0.000 0.000 0.500
Sc 0.333 0.333 0.167
Sc 0.667 0.667 0.833
Te 0.163 0.163 0.592
Te 0.170 0.170 0.075
Te 0.496 0.496 0.258
Te 0.504 0.504 0.742
Te 0.830 0.830 0.925
Te 0.837 0.837 0.408
CELL_PARAMETERS angstrom
9.296 -2.128 0.000
9.296 2.128 0.000
-1.983 0.000 8.323

***

! Dy3Y3ScTe8 PBE-GGA optimized geometry; values from VASP
! * M_tot: 0.00 μB per cell
! * SG: R-3m
! * formation energy without anion corrections: -1.344 eV/atom
! * final energy: -5.65 eV per atom
! * theoretical density: 6563 kg/m3
&SYSTEM
  ibrav = 0, nat = 15, ntyp = 4
/
ATOMIC_SPECIES
Dy 162.50 Dy.upf
Y 88.91 Y.upf
Sc 44.96 Sc.upf
Te 127.60 Te.upf
ATOMIC_POSITIONS crystal
Dy 0.000 0.500 0.500
Dy 0.500 0.000 0.500
Dy 0.500 0.500 0.000
Y 0.000 0.000 0.500
Y 0.000 0.500 0.000
Y 0.500 0.000 0.000
Sc 0.000 0.000 0.000
Te 0.248 0.248 0.751
Te 0.248 0.751 0.248
Te 0.249 0.752 0.752
Te 0.250 0.250 0.250
Te 0.750 0.750 0.750
Te 0.751 0.248 0.248
Te 0.752 0.249 0.752
Te 0.752 0.752 0.249
CELL_PARAMETERS angstrom
4.334 2.502 7.076
-4.334 2.502 7.076
0.000 -5.005 7.076

***

! Dy2Y3ScTe6 PBE-GGA optimized geometry; values from VASP
! * M_tot: 0.00 μB per cell
! * SG: C2/m
! * formation energy without anion corrections: -1.261 eV/atom
! * final energy: -5.74 eV per atom
! * theoretical density: 6757 kg/m3
&SYSTEM
  ibrav = 0, nat = 12, ntyp = 4
/
ATOMIC_SPECIES
Dy 162.50 Dy.upf
Y 88.91 Y.upf
Sc 44.96 Sc.upf
Te 127.60 Te.upf
ATOMIC_POSITIONS crystal
Dy 0.168 0.168 0.333
Dy 0.832 0.832 0.667
Y 0.172 0.172 0.836
Y 0.500 0.500 0.500
Y 0.828 0.828 0.164
Sc 0.500 0.500 0.000
Te 0.002 0.002 0.761
Te 0.334 0.334 0.418
Te 0.340 0.340 0.920
Te 0.660 0.660 0.080
Te 0.666 0.666 0.582
Te 0.998 0.998 0.239
CELL_PARAMETERS angstrom
9.434 -2.159 0.000
9.434 2.159 0.000
-1.977 0.000 8.461

***

! DyY2ScTe4 PBE-GGA optimized geometry; values from VASP
! * M_tot: 0.00 μB per cell
! * SG: P2/m
! * formation energy without anion corrections: -1.242 eV/atom
! * final energy: -5.80 eV per atom
! * theoretical density: 6534 kg/m3
&SYSTEM
  ibrav = 0, nat = 8, ntyp = 4
/
ATOMIC_SPECIES
Dy 162.50 Dy.upf
Y 88.91 Y.upf
Sc 44.96 Sc.upf
Te 127.60 Te.upf
ATOMIC_POSITIONS crystal
Dy 0.000 0.000 0.000
Y 0.500 0.000 0.500
Y 0.500 0.500 0.000
Sc 0.000 0.500 0.500
Te 0.240 0.000 0.740
Te 0.244 0.500 0.255
Te 0.756 0.500 0.745
Te 0.760 0.000 0.260
CELL_PARAMETERS angstrom
7.496 0.000 0.000
0.000 4.284 0.000
-2.448 0.000 7.089